# PBE-GGA BaSr2Se, optimized geometry
# Formation energy from raw total energies   -851.4 meV/atom
# Mass density   3.5 g/cm³
# D(E_F)   1.040 states/eV per atom
# Relative energy among the computed polymorphs   91 meV/atom
data_BaSr2Se
_chemical_formula_sum 'Ba2 Sr4 Se2'
_cell_length_a 13.5709
_cell_length_b 4.1646
_cell_length_c 7.4336
_cell_angle_alpha 90.00
_cell_angle_beta 118.77
_cell_angle_gamma 90.00
_symmetry_space_group_name_H-M 'C 1 m 1'
_symmetry_Int_Tables_number 8
_symmetry_space_group_name_Hall 'C -2y'
loop_
_atom_site_label
_atom_site_type_symbol
_atom_site_fract_x
_atom_site_fract_y
_atom_site_fract_z
Ba1 Ba 0.0000 0.0000 0.0000
Sr1 Sr 0.1728 0.0000 0.6751
Sr2 Sr 0.3536 0.0000 0.3552
Se1 Se 0.2099 0.5000 0.0114